(1)
A plane-wave DFT calculation with PBE-GGA was carried out for a geometry-optimized BaLa2Mg structure.

Computed properties:
- Energy of formation from the pure elements: 0.13 eV per atom

Unit cell a=5.4232 b=5.2677 c=5.2677 alpha=90.00 beta=90.00 gamma=90.00
With the nearest neighbours (Å) after each atom.
Fractional positions:
1 Ba 0.5000 0.0000 0.5000  4 Mg 3.72, 8 La 3.78
2 La 0.0000 0.0000 0.0000  4 La 3.72, 4 Ba 3.78, 4 Mg 3.78
3 La 0.0000 0.5000 0.5000  4 La 3.72, 4 Ba 3.78, 4 Mg 3.78
4 Mg 0.5000 0.5000 0.0000  4 Ba 3.72, 8 La 3.78


(2)
A plane-wave DFT calculation with PBE-GGA was carried out for a geometry-optimized BaLa2Mg structure.

Computed properties:
- Energy of formation from the pure elements: 0.11 eV per atom

Unit cell a=3.9781 b=6.1136 c=6.2161 alpha=90.00 beta=90.00 gamma=90.00
With the nearest neighbours (Å) after each atom.
Fractional positions:
1 Ba 0.0000 0.5000 0.5000  4 Mg 3.65, 4 La 3.69, 2 Ba 3.98
2 La 0.0000 0.0000 0.0000  6 La 3.65-3.98, 4 Mg 3.69
3 La 0.5000 0.5000 0.0000  6 La 3.65-3.98, 4 Ba 3.69
4 Mg 0.5000 0.0000 0.5000  4 Ba 3.65, 4 La 3.69, 2 Mg 3.98